A relaxed Y2Sb2P crystal. Source: Alexandria, functional PBE-GGA.

## Properties
relative energy among the computed polymorphs: 0.0000 eV/atom
formation energy without anion corrections: -0.788 eV/atom

Structure (CIF):
```
data_Y2Sb2P
_chemical_formula_sum 'Y4 Sb4 P2'
_space_group_name_H-M_alt 'P 1'
_space_group_IT_number 1
_cell_length_a 7.6011
_cell_length_b 7.6011
_cell_length_c 4.6076
_cell_angle_alpha 90.00
_cell_angle_beta 90.00
_cell_angle_gamma 90.00
loop_
_space_group_symop_operation_xyz
'x,y,z'
loop_
_atom_site_label
_atom_site_fract_x
_atom_site_fract_y
_atom_site_fract_z
Y1 0.1780 0.3220 0.0000
Y2 0.3220 0.8220 0.0000
Y3 0.6780 0.1780 0.0000
Y4 0.8220 0.6780 0.0000
Sb1 0.1322 0.6322 0.5000
Sb2 0.3678 0.1322 0.5000
Sb3 0.6322 0.8678 0.5000
Sb4 0.8678 0.3678 0.5000
P1 0.0000 0.0000 0.0000
P2 0.5000 0.5000 0.0000
```

A relaxed La2Ti3O9 crystal. Source: Alexandria, functional PBE-GGA.

## Properties
relative energy among the computed polymorphs: 0.0527 eV/atom
formation energy without anion corrections: -3.191 eV/atom

Structure (CIF):
```
data_La2Ti3O9
_chemical_formula_sum 'La4 Ti6 O18'
_space_group_name_H-M_alt 'P 1'
_space_group_IT_number 1
_cell_length_a 7.0063
_cell_length_b 7.0063
_cell_length_c 10.8628
_cell_angle_alpha 90.00
_cell_angle_beta 90.00
_cell_angle_gamma 120.00
loop_
_space_group_symop_operation_xyz
'x,y,z'
loop_
_atom_site_label
_atom_site_fract_x
_atom_site_fract_y
_atom_site_fract_z
La1 0.3333 0.6667 0.0341
La2 0.3333 0.6667 0.4659
La3 0.6667 0.3333 0.5341
La4 0.6667 0.3333 0.9659
Ti1 0.0653 0.3027 0.7500
Ti2 0.2374 0.9347 0.7500
Ti3 0.3027 0.2374 0.2500
Ti4 0.6973 0.7626 0.7500
Ti5 0.7626 0.0653 0.2500
Ti6 0.9347 0.6973 0.2500
O1 0.0559 0.4377 0.6100
O2 0.0559 0.4377 0.8900
O3 0.0631 0.2750 0.2500
O4 0.2118 0.9369 0.2500
O5 0.2750 0.2118 0.7500
O6 0.3818 0.9441 0.6100
O7 0.3818 0.9441 0.8900
O8 0.4377 0.3818 0.1100
O9 0.4377 0.3818 0.3900
O10 0.5623 0.6182 0.6100
O11 0.5623 0.6182 0.8900
O12 0.6182 0.0559 0.1100
O13 0.6182 0.0559 0.3900
O14 0.7250 0.7882 0.2500
O15 0.7882 0.0631 0.7500
O16 0.9369 0.7250 0.7500
O17 0.9441 0.5623 0.1100
O18 0.9441 0.5623 0.3900
```

A relaxed HoErCoGe crystal. Source: Alexandria, functional PBE-GGA.

## Properties
ΔH_f (0 K): -0.414 eV/atom

Structure (CIF):
```
data_HoErCoGe
_chemical_formula_sum 'Ho1 Er1 Co1 Ge1'
_space_group_name_H-M_alt 'P 1'
_space_group_IT_number 1
_cell_length_a 4.8717
_cell_length_b 4.8717
_cell_length_c 4.8717
_cell_angle_alpha 60.00
_cell_angle_beta 60.00
_cell_angle_gamma 60.00
loop_
_space_group_symop_operation_xyz
'x,y,z'
loop_
_atom_site_label
_atom_site_fract_x
_atom_site_fract_y
_atom_site_fract_z
Ho1 0.0000 0.0000 0.0000
Er1 0.5000 0.5000 0.5000
Co1 0.7500 0.7500 0.7500
Ge1 0.2500 0.2500 0.2500
```

A relaxed InRh2Au crystal. Source: Alexandria, functional PBE-GGA.

## Properties
ΔH_f (0 K): -0.061 eV/atom

Structure (CIF):
```
data_InRh2Au
_chemical_formula_sum 'In1 Rh2 Au1'
_space_group_name_H-M_alt 'P 1'
_space_group_IT_number 1
_cell_length_a 4.8357
_cell_length_b 4.8357
_cell_length_c 4.9674
_cell_angle_alpha 101.91
_cell_angle_beta 101.91
_cell_angle_gamma 35.97
loop_
_space_group_symop_operation_xyz
'x,y,z'
loop_
_atom_site_label
_atom_site_fract_x
_atom_site_fract_y
_atom_site_fract_z
In1 0.0000 0.0000 0.0000
Rh1 0.2539 0.2539 0.7481
Rh2 0.7461 0.7461 0.2519
Au1 0.5000 0.5000 0.5000
```

A relaxed GaPd2Rh crystal. Source: Alexandria, functional PBE-GGA.

## Properties
ΔH_f (0 K): -0.339 eV/atom

Structure (CIF):
```
data_GaPd2Rh
_chemical_formula_sum 'Ga1 Pd2 Rh1'
_space_group_name_H-M_alt 'P 1'
_space_group_IT_number 1
_cell_length_a 3.8387
_cell_length_b 3.8387
_cell_length_c 4.0134
_cell_angle_alpha 90.00
_cell_angle_beta 90.00
_cell_angle_gamma 90.00
loop_
_space_group_symop_operation_xyz
'x,y,z'
loop_
_atom_site_label
_atom_site_fract_x
_atom_site_fract_y
_atom_site_fract_z
Ga1 0.0000 0.0000 0.0000
Pd1 0.0000 0.5000 0.5000
Pd2 0.5000 0.0000 0.5000
Rh1 0.5000 0.5000 0.0000
```

A relaxed ZnHgBr2 crystal. Source: Alexandria, functional PBE-GGA.

## Properties
relative energy among the computed polymorphs: 0.1342 eV/atom
formation energy without anion corrections: -0.493 eV/atom

Structure (CIF):
```
data_ZnHgBr2
_chemical_formula_sum 'Zn1 Hg1 Br2'
_space_group_name_H-M_alt 'P 1'
_space_group_IT_number 1
_cell_length_a 4.5561
_cell_length_b 3.5954
_cell_length_c 9.2839
_cell_angle_alpha 90.00
_cell_angle_beta 98.74
_cell_angle_gamma 90.00
loop_
_space_group_symop_operation_xyz
'x,y,z'
loop_
_atom_site_label
_atom_site_fract_x
_atom_site_fract_y
_atom_site_fract_z
Zn1 0.0000 0.0000 0.0000
Hg1 0.5000 0.0000 0.5000
Br1 0.1307 0.5000 0.8326
Br2 0.8693 0.5000 0.1674
```

A relaxed U4ZnGa12 crystal. Source: Alexandria, functional PBE-GGA.

## Properties
ΔH_f (0 K): -0.192 eV/atom

Structure (CIF):
```
data_U4ZnGa12
_chemical_formula_sum 'U4 Zn1 Ga12'
_space_group_name_H-M_alt 'P 1'
_space_group_IT_number 1
_cell_length_a 7.4807
_cell_length_b 7.4807
_cell_length_c 7.4807
_cell_angle_alpha 109.47
_cell_angle_beta 109.47
_cell_angle_gamma 109.47
loop_
_space_group_symop_operation_xyz
'x,y,z'
loop_
_atom_site_label
_atom_site_fract_x
_atom_site_fract_y
_atom_site_fract_z
U1 0.0000 0.0000 0.5000
U2 0.0000 0.5000 0.0000
U3 0.5000 0.0000 0.0000
U4 0.5000 0.5000 0.5000
Zn1 0.0000 0.0000 0.0000
Ga1 0.0000 0.2978 0.2978
Ga2 0.0000 0.7022 0.7022
Ga3 0.2500 0.5000 0.7500
Ga4 0.2500 0.7500 0.5000
Ga5 0.2978 0.0000 0.2978
Ga6 0.2978 0.2978 0.0000
Ga7 0.5000 0.2500 0.7500
Ga8 0.5000 0.7500 0.2500
Ga9 0.7022 0.0000 0.7022
Ga10 0.7022 0.7022 0.0000
Ga11 0.7500 0.2500 0.5000
Ga12 0.7500 0.5000 0.2500
```

A relaxed MnHgRu2 crystal. Source: Alexandria, functional PBE-GGA.

## Properties
ΔH_f (0 K): 0.436 eV/atom

Structure (CIF):
```
data_MnHgRu2
_chemical_formula_sum 'Mn1 Hg1 Ru2'
_space_group_name_H-M_alt 'P 1'
_space_group_IT_number 1
_cell_length_a 3.9737
_cell_length_b 3.9737
_cell_length_c 3.9248
_cell_angle_alpha 90.00
_cell_angle_beta 90.00
_cell_angle_gamma 90.00
loop_
_space_group_symop_operation_xyz
'x,y,z'
loop_
_atom_site_label
_atom_site_fract_x
_atom_site_fract_y
_atom_site_fract_z
Mn1 0.0000 0.0000 0.0000
Hg1 0.5000 0.5000 0.0000
Ru1 0.0000 0.5000 0.5000
Ru2 0.5000 0.0000 0.5000
```

A relaxed Ac2In3Au crystal. Source: Alexandria, functional PBE-GGA.

## Properties
ΔH_f (0 K): -0.572 eV/atom
relative energy among the computed polymorphs: 0.0000 eV/atom

Structure (CIF):
```
data_Ac2In3Au
_chemical_formula_sum 'Ac2 In3 Au1'
_space_group_name_H-M_alt 'P 1'
_space_group_IT_number 1
_cell_length_a 6.3651
_cell_length_b 6.3651
_cell_length_c 8.1398
_cell_angle_alpha 128.74
_cell_angle_beta 128.74
_cell_angle_gamma 46.82
loop_
_space_group_symop_operation_xyz
'x,y,z'
loop_
_atom_site_label
_atom_site_fract_x
_atom_site_fract_y
_atom_site_fract_z
Ac1 0.0000 0.0000 0.0000
Ac2 0.0842 0.0842 0.5915
In1 0.3786 0.3786 0.1981
In2 0.6944 0.6944 0.9899
In3 0.7093 0.7093 0.4026
Au1 0.3684 0.3684 0.5781
```

A relaxed Cs2Rb2Ag crystal. Source: Alexandria, functional PBE-GGA.

## Properties
ΔH_f (0 K): 0.128 eV/atom
relative energy among the computed polymorphs: 0.0933 eV/atom

Structure (CIF):
```
data_Cs2Rb2Ag
_chemical_formula_sum 'Cs4 Rb4 Ag2'
_space_group_name_H-M_alt 'P 1'
_space_group_IT_number 1
_cell_length_a 9.9201
_cell_length_b 9.9201
_cell_length_c 8.4199
_cell_angle_alpha 90.00
_cell_angle_beta 90.00
_cell_angle_gamma 90.00
loop_
_space_group_symop_operation_xyz
'x,y,z'
loop_
_atom_site_label
_atom_site_fract_x
_atom_site_fract_y
_atom_site_fract_z
Cs1 0.1691 0.3309 0.0000
Cs2 0.3309 0.8309 0.0000
Cs3 0.6691 0.1691 0.0000
Cs4 0.8309 0.6691 0.0000
Rb1 0.1751 0.6751 0.5000
Rb2 0.3249 0.1751 0.5000
Rb3 0.6751 0.8249 0.5000
Rb4 0.8249 0.3249 0.5000
Ag1 0.0000 0.0000 0.0000
Ag2 0.5000 0.5000 0.0000
```